Record 1
The following is a DFT calculation (PBE-GGA) of a relaxed structure of ErIn2Si.

space-group type: P4/mmm (123)
magnetic moment: 0.01 μB per formula unit
formation energy from raw total energies: -0.269 eV/atom
crystal system: tetragonal

```
ErIn2Si
1.0
4.2827 0.0000 0.0000
0.0000 4.2827 0.0000
0.0000 0.0000 4.8701
Er In Si
1 2 1
direct
0.0000 0.0000 0.0000
0.0000 0.5000 0.5000
0.5000 0.0000 0.5000
0.5000 0.5000 0.0000
```

---

Record 2
The following is a DFT calculation (PBE-GGA) of a relaxed structure of Er2InSi.

space-group type: P4/mmm (123)
magnetic moment: 0.00 μB per formula unit
formation energy from raw total energies: -0.469 eV/atom
crystal system: tetragonal

```
Er2InSi
1.0
3.2878 0.0000 0.0000
0.0000 3.2878 0.0000
0.0000 0.0000 8.6080
Er In Si
2 1 1
direct
0.0000 0.0000 0.2177
0.0000 0.0000 0.7823
0.5000 0.5000 0.5000
0.5000 0.5000 0.0000
```

---

Record 3
The following is a DFT calculation (PBE-GGA) of a relaxed structure of Er12InSi5.

space-group type: Immm (71)
magnetic moment: 0.00 μB per formula unit
formation energy from raw total energies: -0.563 eV/atom
crystal system: orthorhombic

```
Er12InSi5
1.0
-4.6935 4.7046 5.0914
4.6935 -4.7046 5.0914
4.6935 4.7046 -5.0914
Er In Si
12 1 5
direct
0.0372 0.2342 0.8029
0.1805 0.2701 0.4507
0.1805 0.7299 0.9104
0.3206 0.0235 0.7030
0.3206 0.6176 0.2970
0.4313 0.2342 0.1971
0.5687 0.7658 0.8029
0.6794 0.3824 0.7030
0.6794 0.9765 0.2970
0.8195 0.2701 0.0896
0.8195 0.7299 0.5493
0.9628 0.7658 0.1971
0.5000 0.5000 0.0000
0.0000 0.0000 0.0000
0.1168 0.6168 0.5000
0.3702 0.0000 0.3702
0.6298 0.0000 0.6298
0.8832 0.3832 0.5000
```

---

Record 4
The following is a DFT calculation (PBE-GGA) of a relaxed structure of Sm2Er3In3.

space-group type: Pmmm (47)
energy relative to the lowest polymorph listed for this composition: 0 meV/atom
magnetic moment: 0.02 μB per formula unit
formation energy from the elements: -0.345 eV/atom
crystal system: orthorhombic

```
Sm2Er3In3
1.0
4.8921 0.0000 0.0000
0.0000 4.9397 0.0000
0.0000 0.0000 9.2003
Sm Er In
2 3 3
direct
0.0000 0.0000 0.2426
0.0000 0.0000 0.7574
0.5000 0.0000 0.5000
0.5000 0.5000 0.2320
0.5000 0.5000 0.7680
0.0000 0.5000 0.0000
0.0000 0.5000 0.5000
0.5000 0.0000 0.0000
```